{
  "formula": "TbPm3Dy7",
  "functional": "PBE",
  "state": "relaxed",
  "polymorph_energy_kj_per_mol_atoms": 11.7,
  "spacegroup": "No. 71",
  "lattice_angstrom": [[-2.922, 5.580, 5.616], [2.922, -5.580, 5.616], [2.922, 5.580, -5.616]],
  "species": ["Tb", "Pm", "Pm", "Pm", "Dy", "Dy", "Dy", "Dy", "Dy", "Dy", "Dy"],
  "frac_coords": [[0.000, 0.000, 0.000], [0.288, 0.788, 0.500], [0.500, 0.500, 0.000], [0.712, 0.212, 0.500], [0.000, 0.500, 0.500], [0.097, 0.303, 0.794], [0.294, 0.000, 0.294], [0.492, 0.697, 0.794], [0.508, 0.303, 0.206], [0.706, 0.000, 0.706], [0.903, 0.697, 0.206]]
}

=====

{
  "formula": "Pm6Sb5Br",
  "functional": "PBE",
  "state": "relaxed",
  "raw_formation_energy_mev_per_atom": -1223,
  "spacegroup": "No. 12",
  "lattice_angstrom": [[3.881, -6.712, 0.000], [3.881, 6.712, 0.000], [-2.578, 0.000, 7.298]],
  "species": ["Pm", "Pm", "Pm", "Pm", "Pm", "Pm", "Sb", "Sb", "Sb", "Sb", "Sb", "Br"],
  "frac_coords": [[0.071, 0.415, 0.744], [0.241, 0.241, 0.255], [0.415, 0.071, 0.744], [0.585, 0.929, 0.256], [0.759, 0.759, 0.745], [0.929, 0.585, 0.256], [0.000, 0.000, 0.500], [0.167, 0.833, 0.000], [0.337, 0.663, 0.500], [0.663, 0.337, 0.500], [0.833, 0.167, 0.000], [0.500, 0.500, 0.000]]
}

=====

{
  "formula": "LiB2C2",
  "functional": "PBE",
  "state": "relaxed",
  "polymorph_energy_kj_per_mol_atoms": 4.7,
  "spacegroup": "No. 5",
  "lattice_angstrom": [[4.699, -2.699, 0.000], [4.699, 2.699, 0.000], [-4.665, 0.000, 7.231]],
  "species": ["Li", "Li", "Li", "Li", "B", "B", "B", "B", "B", "B", "B", "B", "C", "C", "C", "C", "C", "C", "C", "C"],
  "frac_coords": [[0.000, 0.000, 0.000], [0.493, 0.004, 0.999], [0.762, 0.238, 0.500], [0.996, 0.507, 0.001], [0.201, 0.713, 0.745], [0.211, 0.222, 0.761], [0.287, 0.304, 0.261], [0.287, 0.799, 0.255], [0.696, 0.713, 0.739], [0.704, 0.221, 0.758], [0.778, 0.789, 0.239], [0.779, 0.296, 0.242], [0.036, 0.549, 0.748], [0.047, 0.060, 0.768], [0.451, 0.964, 0.252], [0.453, 0.464, 0.256], [0.536, 0.547, 0.744], [0.542, 0.054, 0.758], [0.940, 0.953, 0.232], [0.946, 0.458, 0.242]]
}

=====

Number 1: total magnetization 0.3 μB per cell, E_tot -48.20 eV for the cell shown, density of states at the Fermi level 15.92 states/eV/cell. Number 2: total magnetization 0.0 μB per cell, E_tot -65.47 eV for the cell shown, density of states at the Fermi level 3.18 states/eV/cell. Number 3: total magnetization 0.0 μB per cell, E_tot -135.29 eV for the cell shown, density of states at the Fermi level 6.62 states/eV/cell.